Entry 1:
YHoBr3 | PBE | relaxed

Cell lengths 9.299, 9.299, 10.750 Å; angles 108.32, 108.32, 24.24 degrees
Atoms (fractional coordinates):
Y  0.081  0.081  0.464
Y  0.919  0.919  0.536
Ho  0.421  0.421  0.251
Ho  0.579  0.579  0.749
Br  0.137  0.137  0.946
Br  0.305  0.305  0.375
Br  0.422  0.422  0.743
Br  0.578  0.578  0.257
Br  0.695  0.695  0.625
Br  0.863  0.863  0.054

Results
For the total DFT energy (no corrections), the calculation gives -47.0 eV/cell. The total magnetic moment is 0.0 μB/cell.

---

Entry 2:
La2CrSe | PBE | relaxed

Cell lengths 5.371, 5.371, 3.632 Å; angles 90.00, 90.00, 96.40 degrees
Atoms (fractional coordinates):
La  0.000  0.500  0.000
La  0.500  0.000  0.000
Cr  0.000  0.000  0.500
Se  0.500  0.500  0.500

Results
For the total DFT energy (no corrections), the calculation gives -25.0 eV/cell. The total magnetic moment is 3.4 μB/cell. For the density of states at the Fermi level, the calculation gives 3.2 states/eV per cell.

---

Entry 3:
Ac4TbPm | PBE | relaxed

Cell lengths 3.728, 6.232, 10.612 Å; angles 90.00, 90.00, 90.00 degrees
Atoms (fractional coordinates):
Ac  0.000  0.000  0.168
Ac  0.000  0.000  0.832
Ac  0.000  0.500  0.331
Ac  0.000  0.500  0.669
Tb  0.500  0.500  0.000
Pm  0.500  0.000  0.500

Results
For the total DFT energy (no corrections), the calculation gives -24.9 eV/cell. The total magnetic moment is 0.0 μB/cell. For the density of states at the Fermi level, the calculation gives 10.9 states/eV per cell.